Record 1
Compound: CdAsW2
Source: the Alexandria database
Functional: GGA-PBE
Structure: relaxed

a = 4.823 Å, b = 4.823 Å, c = 5.344 Å
α = 98.22°, β = 98.22°, γ = 35.97°
Atoms (fractional coordinates):
1 Cd 0.000 0.000 0.000
2 As 0.238 0.238 0.697
3 W 0.502 0.502 0.495
4 W 0.747 0.747 0.292

## Properties
Crystal system   monoclinic
Offset from the most stable computed form   314 meV per atom
Calculated volume   72.2 Å³ per cell



Record 2
Compound: Cs2BiPbS4
Source: the Alexandria database
Functional: GGA-PBE
Structure: relaxed

a = 8.923 Å, b = 8.923 Å, c = 8.923 Å
α = 121.25°, β = 118.81°, γ = 89.96°
Atoms (fractional coordinates):
1 Cs 0.000 0.000 0.000
2 Cs 0.500 0.000 0.000
3 Cs 0.500 0.000 0.500
4 Cs 0.500 0.500 0.500
5 Bi 0.000 0.000 0.500
6 Bi 0.000 0.500 0.000
7 Pb 0.000 0.500 0.500
8 Pb 0.500 0.500 0.000
9 S 0.193 0.733 0.460
10 S 0.227 0.267 0.960
11 S 0.230 0.268 0.538
12 S 0.230 0.691 0.962
13 S 0.770 0.309 0.038
14 S 0.770 0.732 0.462
15 S 0.773 0.733 0.040
16 S 0.807 0.267 0.540

## Properties
Crystal system   orthorhombic
Calculated volume   501.8 Å³ per cell
Raw formation energy   -60.4 kJ per mole of atoms



Record 3
Compound: FeMo
Source: the Alexandria database
Functional: GGA-PBE
Structure: relaxed

a = 2.693 Å, b = 2.693 Å, c = 8.507 Å
α = 90.00°, β = 90.00°, γ = 120.00°
Atoms (fractional coordinates):
1 Fe 0.333 0.667 0.250
2 Fe 0.667 0.333 0.750
3 Mo 0.000 0.000 0.000
4 Mo 0.000 0.000 0.500

## Properties
Raw total energy   -18.6 eV/f.u.
Crystal system   hexagonal
Calculated volume   53.4 Å³ per cell



Magnetic moment readings, ordered: 0.00, 0.00, 0.55 μB/cell